1.
# VCu3Mo (PBE, relaxed)
# Energy of formation from the pure elements in eV/atom: 1.54
data_VCu3Mo
_chemical_formula_sum 'V1 Cu3 Mo1'
_cell_length_a 4.412
_cell_length_b 4.412
_cell_length_c 4.412
_cell_angle_alpha 90.00
_cell_angle_beta 90.00
_cell_angle_gamma 90.00
_space_group_name_H-M_alt 'P 1'
_space_group_IT_number 1
_space_group_name_Hall 'P 1'
loop_
_atom_site_label
_atom_site_type_symbol
_atom_site_fract_x
_atom_site_fract_y
_atom_site_fract_z
_atom_site_occupancy
V1 V 0.000 0.000 0.000 1
Cu1 Cu 0.000 0.000 0.500 1
Cu2 Cu 0.000 0.500 0.000 1
Cu3 Cu 0.500 0.000 0.000 1
Mo1 Mo 0.500 0.500 0.500 1


2.
# SmYSe (PBE, relaxed)
# Formation energy from raw total energies in eV/atom: -1.15
data_SmYSe
_chemical_formula_sum 'Sm2 Y2 Se2'
_cell_length_a 7.811
_cell_length_b 7.811
_cell_length_c 5.795
_cell_angle_alpha 90.00
_cell_angle_beta 90.00
_cell_angle_gamma 150.84
_space_group_name_H-M_alt 'P 1'
_space_group_IT_number 1
_space_group_name_Hall 'P 1'
loop_
_atom_site_label
_atom_site_type_symbol
_atom_site_fract_x
_atom_site_fract_y
_atom_site_fract_z
_atom_site_occupancy
Sm1 Sm 0.053 0.947 0.750 1
Sm2 Sm 0.947 0.053 0.250 1
Y1 Y 0.336 0.664 0.750 1
Y2 Y 0.664 0.336 0.250 1
Se1 Se 0.304 0.696 0.250 1
Se2 Se 0.696 0.304 0.750 1


3.
# K2PbS3 (PBE, relaxed)
# Formation energy from raw total energies in eV/atom: -0.72
data_K2PbS3
_chemical_formula_sum 'K4 Pb2 S6'
_cell_length_a 8.729
_cell_length_b 8.729
_cell_length_c 6.516
_cell_angle_alpha 90.00
_cell_angle_beta 90.00
_cell_angle_gamma 60.87
_space_group_name_H-M_alt 'P 1'
_space_group_IT_number 1
_space_group_name_Hall 'P 1'
loop_
_atom_site_label
_atom_site_type_symbol
_atom_site_fract_x
_atom_site_fract_y
_atom_site_fract_z
_atom_site_occupancy
K1 K 0.004 0.323 0.000 1
K2 K 0.323 0.004 0.500 1
K3 K 0.677 0.996 0.000 1
K4 K 0.996 0.677 0.500 1
Pb1 Pb 0.337 0.663 0.952 1
Pb2 Pb 0.663 0.337 0.452 1
S1 S 0.060 0.657 0.008 1
S2 S 0.343 0.940 0.008 1
S3 S 0.383 0.617 0.554 1
S4 S 0.617 0.383 0.054 1
S5 S 0.657 0.060 0.508 1
S6 S 0.940 0.343 0.508 1


4.
# CaHfTe2O8 (PBE, relaxed)
# Formation energy from raw total energies in eV/atom: -1.77
data_CaHfTe2O8
_chemical_formula_sum 'Ca1 Hf1 Te2 O8'
_cell_length_a 6.131
_cell_length_b 6.131
_cell_length_c 6.131
_cell_angle_alpha 108.04
_cell_angle_beta 108.04
_cell_angle_gamma 112.38
_space_group_name_H-M_alt 'P 1'
_space_group_IT_number 1
_space_group_name_Hall 'P 1'
loop_
_atom_site_label
_atom_site_type_symbol
_atom_site_fract_x
_atom_site_fract_y
_atom_site_fract_z
_atom_site_occupancy
Ca1 Ca 0.000 0.000 0.000 1
Hf1 Hf 0.250 0.750 0.500 1
Te1 Te 0.500 0.500 0.000 1
Te2 Te 0.750 0.250 0.500 1
O1 O 0.304 0.092 0.788 1
O2 O 0.304 0.516 0.212 1
O3 O 0.373 0.053 0.320 1
O4 O 0.484 0.696 0.788 1
O5 O 0.733 0.053 0.680 1
O6 O 0.908 0.696 0.212 1
O7 O 0.947 0.267 0.320 1
O8 O 0.947 0.627 0.680 1


5.
# LiReAs2 (PBE, relaxed)
# Energy of formation from the pure elements in eV/atom: 0.17
data_LiReAs2
_chemical_formula_sum 'Li1 Re1 As2'
_cell_length_a 4.467
_cell_length_b 4.467
_cell_length_c 3.159
_cell_angle_alpha 96.20
_cell_angle_beta 96.20
_cell_angle_gamma 99.99
_space_group_name_H-M_alt 'P 1'
_space_group_IT_number 1
_space_group_name_Hall 'P 1'
loop_
_atom_site_label
_atom_site_type_symbol
_atom_site_fract_x
_atom_site_fract_y
_atom_site_fract_z
_atom_site_occupancy
Li1 Li 0.000 0.000 0.000 1
Re1 Re 0.500 0.500 0.000 1
As1 As 0.000 0.500 0.500 1
As2 As 0.500 0.000 0.500 1


6.
# TmHgPb (PBE, relaxed)
# Energy of formation from the pure elements in eV/atom: -0.16
data_TmHgPb
_chemical_formula_sum 'Tm1 Hg1 Pb1'
_cell_length_a 4.991
_cell_length_b 4.991
_cell_length_c 4.991
_cell_angle_alpha 60.00
_cell_angle_beta 60.00
_cell_angle_gamma 60.00
_space_group_name_H-M_alt 'P 1'
_space_group_IT_number 1
_space_group_name_Hall 'P 1'
loop_
_atom_site_label
_atom_site_type_symbol
_atom_site_fract_x
_atom_site_fract_y
_atom_site_fract_z
_atom_site_occupancy
Tm1 Tm 0.000 0.000 0.000 1
Hg1 Hg 0.250 0.250 0.250 1
Pb1 Pb 0.500 0.500 0.500 1


7.
# KMg2Te (PBE, relaxed)
# Formation energy from raw total energies in eV/atom: -0.12
data_KMg2Te
_chemical_formula_sum 'K1 Mg2 Te1'
_cell_length_a 5.620
_cell_length_b 5.620
_cell_length_c 5.620
_cell_angle_alpha 60.00
_cell_angle_beta 60.00
_cell_angle_gamma 60.00
_space_group_name_H-M_alt 'P 1'
_space_group_IT_number 1
_space_group_name_Hall 'P 1'
loop_
_atom_site_label
_atom_site_type_symbol
_atom_site_fract_x
_atom_site_fract_y
_atom_site_fract_z
_atom_site_occupancy
K1 K 0.000 0.000 0.000 1
Mg1 Mg 0.500 0.500 0.500 1
Mg2 Mg 0.750 0.750 0.750 1
Te1 Te 0.250 0.250 0.250 1


8.
# CsU2Br11 (PBE, relaxed)
# Formation energy from raw total energies in eV/atom: -1.31
data_CsU2Br11
_chemical_formula_sum 'Cs2 U4 Br22'
_cell_length_a 12.146
_cell_length_b 12.146
_cell_length_c 12.146
_cell_angle_alpha 113.38
_cell_angle_beta 112.22
_cell_angle_gamma 103.00
_space_group_name_H-M_alt 'P 1'
_space_group_IT_number 1
_space_group_name_Hall 'P 1'
loop_
_atom_site_label
_atom_site_type_symbol
_atom_site_fract_x
_atom_site_fract_y
_atom_site_fract_z
_atom_site_occupancy
Cs1 Cs 0.250 0.250 0.000 1
Cs2 Cs 0.750 0.750 0.000 1
U1 U 0.159 0.644 0.803 1
U2 U 0.341 0.144 0.485 1
U3 U 0.659 0.856 0.515 1
U4 U 0.841 0.356 0.197 1
Br1 Br 0.000 0.500 0.500 1
Br2 Br 0.063 0.379 0.189 1
Br3 Br 0.124 0.409 0.783 1
Br4 Br 0.126 0.909 0.286 1
Br5 Br 0.190 0.874 0.811 1
Br6 Br 0.196 0.274 0.469 1
Br7 Br 0.304 0.774 0.078 1
Br8 Br 0.310 0.121 0.684 1
Br9 Br 0.374 0.660 0.783 1
Br10 Br 0.376 0.160 0.286 1
Br11 Br 0.437 0.626 0.316 1
Br12 Br 0.500 0.000 0.500 1
Br13 Br 0.563 0.374 0.684 1
Br14 Br 0.624 0.840 0.714 1
Br15 Br 0.626 0.340 0.217 1
Br16 Br 0.690 0.879 0.316 1
Br17 Br 0.696 0.226 0.922 1
Br18 Br 0.804 0.726 0.531 1
Br19 Br 0.810 0.126 0.189 1
Br20 Br 0.874 0.091 0.714 1
Br21 Br 0.876 0.591 0.217 1
Br22 Br 0.937 0.621 0.811 1


9.
# HoTh2Sc8 (PBE, relaxed)
# Energy of formation from the pure elements in eV/atom: 0.04
data_HoTh2Sc8
_chemical_formula_sum 'Ho1 Th2 Sc8'
_cell_length_a 5.739
_cell_length_b 7.475
_cell_length_c 7.562
_cell_angle_alpha 107.23
_cell_angle_beta 105.57
_cell_angle_gamma 98.03
_space_group_name_H-M_alt 'P 1'
_space_group_IT_number 1
_space_group_name_Hall 'P 1'
loop_
_atom_site_label
_atom_site_type_symbol
_atom_site_fract_x
_atom_site_fract_y
_atom_site_fract_z
_atom_site_occupancy
Ho1 Ho 0.000 0.000 0.000 1
Th1 Th 0.094 0.812 0.364 1
Th2 Th 0.906 0.188 0.636 1
Sc1 Sc 0.184 0.637 0.727 1
Sc2 Sc 0.271 0.458 0.088 1
Sc3 Sc 0.357 0.278 0.457 1
Sc4 Sc 0.447 0.093 0.815 1
Sc5 Sc 0.553 0.907 0.185 1
Sc6 Sc 0.643 0.722 0.543 1
Sc7 Sc 0.729 0.542 0.912 1
Sc8 Sc 0.816 0.363 0.273 1


10.
# ZnIrW2 (PBE, relaxed)
# Energy of formation from the pure elements in eV/atom: 0.06
data_ZnIrW2
_chemical_formula_sum 'Zn1 Ir1 W2'
_cell_length_a 5.186
_cell_length_b 5.186
_cell_length_c 5.186
_cell_angle_alpha 144.07
_cell_angle_beta 131.63
_cell_angle_gamma 61.70
_space_group_name_H-M_alt 'P 1'
_space_group_IT_number 1
_space_group_name_Hall 'P 1'
loop_
_atom_site_label
_atom_site_type_symbol
_atom_site_fract_x
_atom_site_fract_y
_atom_site_fract_z
_atom_site_occupancy
Zn1 Zn 0.000 0.000 0.000 1
Ir1 Ir 0.500 0.500 0.000 1
W1 W 0.251 0.751 0.500 1
W2 W 0.749 0.249 0.500 1


11.
# Na3Cd2Sn2 (PBE, relaxed)
# Energy of formation from the pure elements in eV/atom: -0.15
data_Na3Cd2Sn2
_chemical_formula_sum 'Na3 Cd2 Sn2'
_cell_length_a 5.108
_cell_length_b 5.108
_cell_length_c 8.385
_cell_angle_alpha 104.92
_cell_angle_beta 104.92
_cell_angle_gamma 58.51
_space_group_name_H-M_alt 'P 1'
_space_group_IT_number 1
_space_group_name_Hall 'P 1'
loop_
_atom_site_label
_atom_site_type_symbol
_atom_site_fract_x
_atom_site_fract_y
_atom_site_fract_z
_atom_site_occupancy
Na1 Na 0.000 0.000 0.000 1
Na2 Na 0.139 0.139 0.425 1
Na3 Na 0.861 0.861 0.575 1
Cd1 Cd 0.278 0.278 0.838 1
Cd2 Cd 0.722 0.722 0.162 1
Sn1 Sn 0.416 0.416 0.249 1
Sn2 Sn 0.584 0.584 0.751 1


12.
# Tl2AuCl (PBE, relaxed)
# Formation energy from raw total energies in eV/atom: -0.39
data_Tl2AuCl
_chemical_formula_sum 'Tl2 Au1 Cl1'
_cell_length_a 7.894
_cell_length_b 7.894
_cell_length_c 7.894
_cell_angle_alpha 32.45
_cell_angle_beta 32.45
_cell_angle_gamma 32.45
_space_group_name_H-M_alt 'P 1'
_space_group_IT_number 1
_space_group_name_Hall 'P 1'
loop_
_atom_site_label
_atom_site_type_symbol
_atom_site_fract_x
_atom_site_fract_y
_atom_site_fract_z
_atom_site_occupancy
Tl1 Tl 0.000 0.000 0.000 1
Tl2 Tl 0.177 0.177 0.177 1
Au1 Au 0.588 0.588 0.588 1
Cl1 Cl 0.760 0.760 0.760 1


Per-record M_tot, μB/f.u.: 0.06, 0.00, 0.00, 0.00, 0.00, 0.00, 0.00, 2.00, 0.00, 0.00, 0.00, 0.00